Record 1
VASP calculation (PBE) on a relaxed Ca3NO2 crystal.

POSCAR file:
```
Ca3NO2
1.0
3.452 0.000 0.000
0.000 3.452 0.000
0.000 0.000 14.803
Ca N O
6 2 4
Cartesian
0.000 0.000 0.000
0.000 0.000 4.893
0.000 0.000 9.910
1.726 1.726 2.508
1.726 1.726 7.402
1.726 1.726 12.295
0.000 0.000 7.402
1.726 1.726 0.000
0.000 0.000 2.491
0.000 0.000 12.312
1.726 1.726 4.910
1.726 1.726 9.893
```

Results
uncorrected formation energy = -2.037 eV per atom
energy = -6.078 eV/atom

=====

Record 2
VASP calculation (PBE) on a relaxed Ca4N2O crystal.

POSCAR file:
```
Ca4N2O
1.0
4.354 0.000 0.000
0.000 4.354 0.000
0.000 0.000 12.930
Ca N O
8 4 2
Cartesian
0.000 0.000 2.481
0.000 0.000 10.449
0.000 2.177 0.000
0.000 2.177 6.465
2.177 0.000 0.000
2.177 0.000 6.465
2.177 2.177 3.984
2.177 2.177 8.946
0.000 0.000 4.764
0.000 0.000 8.166
2.177 2.177 1.701
2.177 2.177 11.229
0.000 0.000 0.000
2.177 2.177 6.465
```

Results
uncorrected formation energy = -1.084 eV per atom
energy = -5.314 eV/atom

=====

Record 3
VASP calculation (PBE) on a relaxed Ca3NO crystal.

POSCAR file:
```
Ca3NO
1.0
4.703 0.000 0.000
0.000 4.703 0.000
0.000 0.000 4.703
Ca N O
3 1 1
Cartesian
0.000 0.000 2.352
0.000 2.352 0.000
2.352 0.000 0.000
0.000 0.000 0.000
2.352 2.352 2.352
```

Results
uncorrected formation energy = -0.828 eV per atom
energy = -4.685 eV/atom

=====

Record 4
VASP calculation (PBE) on a relaxed Ca4N2O crystal.

POSCAR file:
```
Ca4N2O
1.0
5.972 0.000 0.000
0.000 3.571 0.000
-1.939 0.000 5.935
Ca N O
4 2 1
Cartesian
0.903 0.000 1.258
-0.087 1.785 4.501
4.121 1.785 1.434
3.131 0.000 4.677
-0.969 0.000 2.968
0.000 1.785 0.000
2.986 0.000 0.000
```

Results
uncorrected formation energy = -1.293 eV per atom
energy = -5.524 eV/atom

=====

no.,density (g/cm3),excess energy over the best structure of this formula in the dataset (eV per formula unit)
1,3.130,0.025
2,2.768,1.565
3,2.398,2.242
4,2.681,0.101